The following is a DFT calculation (GGA-PBEsol) of a geometry-optimized Tc2OsW structure.

a = 3.0601 Å, b = 4.3689 Å, c = 5.1368 Å
α = 115.17°, β = 107.33°, γ = 90.00°
Sites, in units of the cell vectors:
W: 0.4960 0.4960 0.9921
Tc: 0.7673 0.2673 0.5346
Os: 0.2327 0.7327 0.4653
Tc: 0.0040 0.0040 0.0080

**Spin magnetization**: 0.0 μB/f.u.
**ΔH_f (0 K)**: 0.250 eV per atom
**Symmetry**: Imm2 (44)